Compound: LiYFeTe
Source: OQMD via LeMat-Bulk
Functional: PBE
Structure: relaxed

Summary:
total magnetization: 0.01 μB per cell
excess energy over the best structure of this formula in the dataset: 0.000 eV per atom

a b c (Å): 4.555 4.555 4.555
angles (deg): 60.00 60.00 60.00
Fractional coordinates of all 4 atoms:
Li 0.000 0.000 0.000
Y 0.750 0.750 0.750
Fe 0.500 0.500 0.500
Te 0.250 0.250 0.250